Here is a geometry-optimized CaPaMnN3 structure from the Alexandria database. Energies are from GGA-PBE.

Cell lengths 3.5195, 6.9936, 7.6549 Å; angles 96.62, 90.00, 90.00 degrees
Closest atoms and distances in Å follow each position.
Element x y z (fractional)
N1 0.2500 0.5776 0.8714  3 Pa 2.29-2.36
N2 0.2500 0.8443 0.4429  3 Mn 1.84-1.90
N3 0.7500 0.8620 0.1470  1 Mn 1.98
N4 0.7500 0.4224 0.1286  3 Pa 2.29-2.36
N5 0.7500 0.1557 0.5571  3 Mn 1.84-1.90
N6 0.2500 0.1380 0.8530  1 Mn 1.98
Pa1 0.2500 0.6480 0.1716  6 N 2.29-2.36
Pa2 0.7500 0.3520 0.8284  6 N 2.29-2.36
Mn1 0.2500 0.0686 0.5955  4 N 1.84-1.98
Mn2 0.7500 0.9314 0.4045  4 N 1.84-1.98
Ca1 0.7500 0.8487 0.8277  5 N 2.43-2.67
Ca2 0.2500 0.1513 0.1723  5 N 2.43-2.67

Results
Formation energy (no corrections)   -1057 meV/atom
E_tot   -8.664 eV per atom